DFT (PBE-GGA) results for a geometry-optimized CsSn2Cl5 structure.

Cell lengths 9.622, 9.622, 9.622 Å; angles 146.41, 146.41, 48.24 degrees
Sites, in units of the cell vectors:
Cs: 0.000 0.000 0.000
Sn: 0.346 0.346 0.000
Sn: 0.654 0.654 0.000
Cl: 0.138 0.638 0.500
Cl: 0.362 0.862 0.500
Cl: 0.500 0.500 0.000
Cl: 0.638 0.138 0.500
Cl: 0.862 0.362 0.500

Properties
Total DFT energy (no corrections) in eV per cell: -28.09
Mass density in g/cm3: 3.3
Energy relative to the lowest polymorph listed for this composition in eV per formula unit: 0.32
D(E_F) in states/eV/atom: 0.000
ΔE_f (raw) in eV per atom: -1.249
Magnetization in μB per formula unit: 0.00
Symmetry: No. 139